Record 1
Th2HgO | GGA-PBE | optimized geometry

Cell: 3.7623 3.7623 8.0361 Å, 76.46 76.46 60.00°
Element x y z (fractional)
Th1 0.7264 0.7264 0.8209
Th2 0.2736 0.2736 0.1791
O1 0.0000 0.0000 0.0000
Hg1 0.5000 0.5000 0.5000

raw formation energy: -1.319 eV/atom

=====

Record 2
MgScTlPt | GGA-PBE | optimized geometry

Cell: 4.7978 4.7978 4.7978 Å, 60.00 60.00 60.00°
Element x y z (fractional)
Pt1 0.7500 0.7500 0.7500
Sc1 0.5000 0.5000 0.5000
Mg1 0.0000 0.0000 0.0000
Tl1 0.2500 0.2500 0.2500

formation energy: -13.45 kcal/mol of atoms

=====

Record 3
Tb5Pt2Au | GGA-PBE | optimized geometry

Cell: 7.8264 7.8264 8.6002 Å, 117.07 117.07 90.00°
Element x y z (fractional)
Tb1 0.5000 0.5000 0.0000
Tb2 0.8024 0.9783 0.2808
Tb3 0.0217 0.5217 0.7192
Tb4 0.6976 0.1976 0.7192
Tb5 0.0000 0.0000 0.0000
Tb6 0.9783 0.4783 0.2808
Tb7 0.4783 0.3024 0.2808
Tb8 0.5217 0.6976 0.7192
Tb9 0.1976 0.0217 0.7192
Tb10 0.3024 0.8024 0.2808
Pt1 0.6350 0.1350 0.0000
Pt2 0.8650 0.6350 0.0000
Pt3 0.1350 0.3650 0.0000
Pt4 0.3650 0.8650 0.0000
Au1 0.2500 0.2500 0.5000
Au2 0.7500 0.7500 0.5000

formation energy: -20.70 kcal/mol of atoms

=====

Record 4
ZrAgCl2 | GGA-PBE | optimized geometry

Cell: 7.6250 7.6250 7.6250 Å, 156.57 144.79 42.73°
Element x y z (fractional)
Ag1 0.3330 0.8330 0.5000
Cl1 0.6604 0.1604 0.5000
Cl2 0.9931 0.9931 0.0000
Zr1 0.5135 0.5135 0.0000

energy above the lowest structure with this stoichiometry: 254 meV/atom
raw formation energy: -0.669 eV/atom

=====

Record 5
RhCS2Cl | GGA-PBE | optimized geometry

Cell: 4.6178 4.6178 4.7900 Å, 90.00 90.00 90.00°
Element x y z (fractional)
Rh1 0.0000 0.0000 0.0000
S1 0.5000 0.0000 0.0000
S2 0.0000 0.5000 0.0000
C1 0.5000 0.5000 0.5000
Cl1 0.0000 0.0000 0.5000

energy above the lowest structure with this stoichiometry: 220 meV/atom
raw formation energy: 1.620 eV/atom

=====

Record 6
RbIn3Pd2 | GGA-PBE | optimized geometry

Cell: 5.9411 7.3792 7.3792 Å, 108.10 90.00 90.00°
Element x y z (fractional)
Pd1 0.5000 0.8054 0.1946
Pd2 0.5000 0.1946 0.8054
Pd3 0.0000 0.8054 0.1946
Pd4 0.0000 0.1946 0.8054
In1 0.2500 0.9241 0.5206
In2 0.2500 0.5206 0.9241
In3 0.7500 0.0759 0.4794
In4 0.2500 0.9372 0.9372
In5 0.7500 0.4794 0.0759
In6 0.7500 0.0628 0.0628
Rb1 0.2500 0.3613 0.3613
Rb2 0.7500 0.6387 0.6387

formation energy: -8.15 kcal/mol of atoms

=====

Record 7
FeCuHg2 | GGA-PBE | optimized geometry

Cell: 4.6270 4.6270 5.4918 Å, 80.90 80.90 37.35°
Element x y z (fractional)
Fe1 0.2500 0.2500 0.2500
Hg1 0.0002 0.0002 0.9995
Hg2 0.4998 0.4998 0.5005
Cu1 0.7500 0.7500 0.7500

energy above the lowest structure with this stoichiometry: 123 meV/atom
formation energy: 10.14 kcal/mol of atoms

=====

Record 8
PmDyGe2Pt2 | GGA-PBE | optimized geometry

Cell: 4.4309 4.4309 7.2725 Å, 90.00 90.00 120.00°
Element x y z (fractional)
Pm1 0.0000 0.0000 0.0000
Dy1 0.0000 0.0000 0.5000
Pt1 0.3333 0.6667 0.7265
Pt2 0.6667 0.3333 0.2735
Ge1 0.3333 0.6667 0.2652
Ge2 0.6667 0.3333 0.7348

formation energy: -24.69 kcal/mol of atoms